Entry from the Alexandria database: a geometry-optimized Ac6Ru3Au structure (GGA-PBE).

Summary:
E_tot, eV/atom: -5.8542
ΔE_f, meV/atom: -279

Cell lengths 4.3444, 12.5076, 14.3514 Å; angles 123.67, 90.00, 90.00 degrees
Positions (direct):
Ac (0.7500, 0.1542, 0.5543)
Ac (0.2500, 0.8458, 0.4457)
Ac (0.7500, 0.1583, 0.0684)
Ac (0.2500, 0.8417, 0.9316)
Ac (0.7500, 0.6674, 0.6095)
Ac (0.2500, 0.3326, 0.3905)
Ac (0.7500, 0.5385, 0.2833)
Ac (0.2500, 0.4615, 0.7167)
Ac (0.7500, 0.3399, 0.8821)
Ac (0.2500, 0.6601, 0.1179)
Ac (0.7500, 0.9819, 0.2295)
Ac (0.2500, 0.0181, 0.7705)
Ru (0.7500, 0.3811, 0.5505)
Ru (0.2500, 0.6189, 0.4495)
Ru (0.7500, 0.7914, 0.2838)
Ru (0.2500, 0.2086, 0.7162)
Ru (0.7500, 0.9256, 0.8364)
Ru (0.2500, 0.0744, 0.1636)
Au (0.7500, 0.6367, 0.9345)
Au (0.2500, 0.3633, 0.0655)